{
  "formula": "WC3O",
  "functional": "PBE+U",
  "state": "optimized geometry",
  "lattice_angstrom": [[3.509, 0.000, 0.000], [0.000, 3.509, 0.000], [0.000, 0.000, 3.509]],
  "species": ["W", "C", "C", "C", "O"],
  "frac_coords": [[0.000, 0.000, 0.000], [0.000, 0.500, 0.500], [0.500, 0.000, 0.500], [0.500, 0.500, 0.000], [0.500, 0.500, 0.500]],
  "vol_a3_per_cell": 43.2,
  "dft_energy_ev_per_atom": -5.36,
  "spacegroup": "Pm-3m, No. 221",
  "n_ef_per_ev_atom": 0.336
}